[1]
! ErLu2In | Alexandria | PBE | optimized geometry; values from VASP
! density of states at the Fermi level = 5.83 states/eV per cell
! formation energy = -0.4 eV per formula unit
! crystal system = cubic
! energy above the lowest structure with this stoichiometry = 15.6 kJ/mol of atoms
&SYSTEM
  ibrav = 0, nat = 4, ntyp = 3
/
ATOMIC_SPECIES
Lu 174.97 Lu.upf
In 114.82 In.upf
Er 167.26 Er.upf
CELL_PARAMETERS angstrom
5.3610 0.0000 0.0000
2.6805 4.6428 0.0000
2.6805 1.5476 4.3773
ATOMIC_POSITIONS crystal
Lu 0.2500 0.2500 0.2500
Lu 0.7500 0.7500 0.7500
In 0.5000 0.5000 0.5000
Er 0.0000 0.0000 0.0000

---

[2]
! Ti2AsPOs | Alexandria | PBE | optimized geometry; values from VASP
! density of states at the Fermi level = 6.51 states/eV per cell
! formation energy = 3.7 eV per formula unit
! crystal system = tetragonal
&SYSTEM
  ibrav = 0, nat = 5, ntyp = 4
/
ATOMIC_SPECIES
P 30.97 P.upf
As 74.92 As.upf
Os 190.23 Os.upf
Ti 47.87 Ti.upf
CELL_PARAMETERS angstrom
-2.7321 -0.1253 3.7862
-3.2906 -1.8669 -2.4363
1.6387 -4.2479 1.0419
ATOMIC_POSITIONS crystal
P 0.5000 0.5000 0.5000
As 0.0000 0.0000 0.0000
Os 0.0000 0.5000 0.0000
Ti 0.0000 0.0000 0.5000
Ti 0.5000 0.0000 0.0000

---

[3]
! Sr2LiPtRh | Alexandria | PBE | optimized geometry; values from VASP
! density of states at the Fermi level = 1.75 states/eV per cell
! formation energy = 0.9 eV per formula unit
! crystal system = tetragonal
&SYSTEM
  ibrav = 0, nat = 5, ntyp = 4
/
ATOMIC_SPECIES
Sr 87.62 Sr.upf
Rh 102.91 Rh.upf
Pt 195.08 Pt.upf
Li 6.94 Li.upf
CELL_PARAMETERS angstrom
-1.3903 -2.2434 4.8833
-2.9016 -2.2948 -1.8804
3.7169 -4.0444 -0.7998
ATOMIC_POSITIONS crystal
Sr 0.0000 0.0000 0.5000
Sr 0.5000 0.0000 0.0000
Rh 0.5000 0.5000 0.5000
Pt 0.0000 0.5000 0.0000
Li 0.0000 0.0000 0.0000

---

[4]
! MnInBr2 | Alexandria | PBE | optimized geometry; values from VASP
! density of states at the Fermi level = 2.13 states/eV per cell
! E_form (uncorrected) = 0.00 eV per atom
! crystal system = orthorhombic
! energy above the lowest structure with this stoichiometry = 39.2 kJ/mol of atoms
&SYSTEM
  ibrav = 0, nat = 4, ntyp = 3
/
ATOMIC_SPECIES
Br 79.90 Br.upf
In 114.82 In.upf
Mn 54.94 Mn.upf
CELL_PARAMETERS angstrom
-1.9575 -2.0422 -2.6873
3.0585 -5.2677 1.7752
-3.2179 -0.8586 2.9964
ATOMIC_POSITIONS crystal
Br 0.0000 0.0000 0.0000
Br 0.5000 0.5000 0.0000
In 0.5000 0.0000 0.5000
Mn 0.0000 0.5000 0.5000

---

Number 1: volume 108.9 Å³/cell. Number 2: volume 98.2 Å³/cell. Number 3: volume 127.9 Å³/cell. Number 4: volume 110.9 Å³/cell.